CrOs3F PBE+U relaxed; calculated total energy = -35.1 eV/cell; space group = Pm-3m
1.0
-0.999 3.870 -1.341
-1.717 0.858 3.753
3.718 1.435 1.373
Os F Cr
3 1 1
direct
0.500 0.000 0.000
0.000 0.500 0.000
0.000 0.000 0.500
0.000 0.000 0.000
0.500 0.500 0.500